First-principles (PBE-GGA) data for a geometry-optimized NdDyZnNi2 structure, as listed in OQMD via LeMat-Bulk.

The structure belongs to space group Imm2 (No. 44); the cell edges are 4.277, 5.416 and 8.234 Å and the angles 90.00°, 90.00° and 90.00°. The distinct sites, in fractional coordinates, are Nd at (0.000, 0.000, 0.000), Dy at (0.000, 0.000, 0.406), Zn at (0.000, 0.500, 0.203) and Ni at (0.000, 0.269, 0.703).

The value obtained for the formation energy is -0.414 eV per atom.